Record 1
ZrInAg: relaxed, GGA-PBE.

Output
Its formation energy is -0.1418 eV per atom. As for the space group: I4mm.

a = 6.4893 Å, b = 6.4893 Å, c = 6.4893 Å
α = 151.40°, β = 151.40°, γ = 40.90°
Sites, in units of the cell vectors:
Zr 0.0000 0.0000 0.0000
In 0.6733 0.6733 0.0000
Ag 0.3334 0.3334 0.0000


Record 2
Ce2SeI3: relaxed, GGA-PBE.

Output
The calculation puts the formation energy without anion corrections at -136 kJ per mole of atoms. As for the space group: C2/m.

a = 7.6431 Å, b = 7.6431 Å, c = 8.0184 Å
α = 100.27°, β = 100.27°, γ = 32.45°
Sites, in units of the cell vectors:
Ce 0.1077 0.1077 0.3783
Ce 0.8923 0.8923 0.6217
Se 0.5000 0.5000 0.5000
I 0.0000 0.0000 0.0000
I 0.2503 0.2503 0.7404
I 0.7497 0.7497 0.2596